The following is a DFT calculation (GGA-PBE) of a relaxed Sr3Sb2Pd5 crystal.

Calculated values
Total DFT energy (no corrections) (eV/cell): -176.54
Crystal system: orthorhombic
Theoretical density (g cm⁻³): 6.880

a b c (Å): 11.7530 13.4749 6.3310
angles (deg): 90.00 90.00 90.00
Closest atoms and distances in Å follow each position.
Space group Ibam (No. 72)
One atom of each set of equivalent atoms:
Sr  0.0000  0.0000  0.2500 (multiplicity 4)  2 Pd 2.99, 2 Sr 3.17, 4 Sb 3.21
Sr  0.1965  0.3891  0.0000 (multiplicity 8)  5 Pd 3.17-3.49, 1 Sb 3.30
Sb  0.1690  0.1453  0.0000 (multiplicity 8)  3 Pd 2.60-2.74
Pd  0.0000  0.2221  0.2500 (multiplicity 8)  2 Sb 2.74, 2 Pd 2.79, 1 Sr 2.99
Pd  0.0000  0.5000  0.2500 (multiplicity 4)  4 Pd 2.75
Pd  0.1099  0.3630  0.5000 (multiplicity 8)  1 Sb 2.60, 4 Pd 2.75-2.79